Record 1
Ho3Ga4Pt: optimized geometry, PBE.

```
Ho3Ga4Pt
1.0
-1.796 2.945 8.459
1.796 -2.945 8.459
1.796 2.945 -8.459
Ho Ga Pt
3 4 1
Direct
0.000 0.000 0.000 Ho
0.274 0.774 0.500 Ho
0.726 0.226 0.500 Ho
0.117 0.381 0.737 Ga
0.356 0.619 0.737 Ga
0.644 0.381 0.263 Ga
0.883 0.619 0.263 Ga
0.500 0.500 0.000 Pt
```

DFT formation energy ... -374 kJ/mol of formula units
N(E_F) ... 4.43 states/eV/cell

Record 2
HoGa4Pt6: optimized geometry, PBE.

```
HoGa4Pt6
1.0
-3.328 3.328 4.691
3.328 -3.328 4.691
3.328 3.328 -4.691
Ho Ga Pt
1 4 6
Direct
0.000 0.000 0.000 Ho
0.123 0.533 0.000 Ga
0.467 0.467 0.590 Ga
0.533 0.123 0.000 Ga
0.877 0.877 0.410 Ga
0.000 0.500 0.500 Pt
0.227 0.227 0.673 Pt
0.446 0.773 0.000 Pt
0.500 0.000 0.500 Pt
0.554 0.554 0.327 Pt
0.773 0.446 0.000 Pt
```

DFT formation energy ... -545 kJ/mol of formula units
N(E_F) ... 6.29 states/eV/cell

Record 3
Ho3Ga5Pt6: optimized geometry, PBE.

```
Ho3Ga5Pt6
1.0
4.295 0.000 0.000
0.000 13.304 0.000
0.000 0.000 8.949
Ho Ga Pt
6 10 12
Direct
0.250 0.061 0.245 Ho
0.250 0.439 0.245 Ho
0.250 0.750 0.233 Ho
0.750 0.250 0.767 Ho
0.750 0.561 0.755 Ho
0.750 0.939 0.755 Ho
0.250 0.077 0.883 Ga
0.250 0.423 0.883 Ga
0.250 0.629 0.521 Ga
0.250 0.750 0.769 Ga
0.250 0.871 0.521 Ga
0.750 0.129 0.479 Ga
0.750 0.250 0.231 Ga
0.750 0.371 0.479 Ga
0.750 0.577 0.117 Ga
0.750 0.923 0.117 Ga
0.250 0.058 0.603 Pt
0.250 0.250 0.017 Pt
0.250 0.250 0.436 Pt
0.250 0.442 0.603 Pt
0.250 0.613 0.974 Pt
0.250 0.887 0.974 Pt
0.750 0.113 0.026 Pt
0.750 0.387 0.026 Pt
0.750 0.558 0.397 Pt
0.750 0.750 0.564 Pt
0.750 0.750 0.983 Pt
0.750 0.942 0.397 Pt
```

DFT formation energy ... -1306 kJ/mol of formula units
N(E_F) ... 12.15 states/eV/cell

Record 4
HoGa4Pt8: optimized geometry, PBE.

```
HoGa4Pt8
1.0
6.130 0.000 0.000
0.000 6.130 0.000
0.000 0.000 6.130
Ho Ga Pt
1 4 8
Direct
0.000 0.000 0.000 Ho
0.000 0.500 0.500 Ga
0.500 0.000 0.500 Ga
0.500 0.500 0.000 Ga
0.500 0.500 0.500 Ga
0.257 0.257 0.257 Pt
0.257 0.257 0.743 Pt
0.257 0.743 0.257 Pt
0.257 0.743 0.743 Pt
0.743 0.257 0.257 Pt
0.743 0.257 0.743 Pt
0.743 0.743 0.257 Pt
0.743 0.743 0.743 Pt
```

DFT formation energy ... -587 kJ/mol of formula units
N(E_F) ... 5.12 states/eV/cell

Record 5
Ho6Ga2Pt: optimized geometry, PBE.

```
Ho6Ga2Pt
1.0
6.060 0.000 0.000
0.000 8.254 0.000
-5.522 0.000 9.572
Ho Ga Pt
12 4 2
Direct
0.065 0.173 0.441 Ho
0.065 0.327 0.941 Ho
0.331 0.679 0.441 Ho
0.331 0.821 0.941 Ho
0.389 0.034 0.269 Ho
0.389 0.466 0.769 Ho
0.611 0.534 0.231 Ho
0.611 0.966 0.731 Ho
0.669 0.179 0.059 Ho
0.669 0.321 0.559 Ho
0.935 0.673 0.059 Ho
0.935 0.827 0.559 Ho
0.181 0.125 0.752 Ga
0.181 0.375 0.252 Ga
0.819 0.625 0.748 Ga
0.819 0.875 0.248 Ga
0.000 0.000 0.000 Pt
0.000 0.500 0.500 Pt
```

DFT formation energy ... -425 kJ/mol of formula units
N(E_F) ... 19.93 states/eV/cell

Record 6
HoGa2Pt3: optimized geometry, PBE.

```
HoGa2Pt3
1.0
4.409 0.000 0.000
-2.204 3.818 0.000
0.000 0.000 12.353
Ho Ga Pt
2 4 6
Direct
0.000 0.000 0.250 Ho
0.000 0.000 0.750 Ho
0.333 0.667 0.087 Ga
0.333 0.667 0.413 Ga
0.667 0.333 0.587 Ga
0.667 0.333 0.913 Ga
0.000 0.000 0.000 Pt
0.000 0.000 0.500 Pt
0.333 0.667 0.626 Pt
0.333 0.667 0.874 Pt
0.667 0.333 0.126 Pt
0.667 0.333 0.374 Pt
```

DFT formation energy ... -562 kJ/mol of formula units
N(E_F) ... 3.38 states/eV/cell

Record 7
Ho3GaPt12: optimized geometry, PBE.

```
Ho3GaPt12
1.0
4.088 0.000 0.000
0.000 4.088 0.000
0.000 0.000 16.154
Ho Ga Pt
3 1 12
Direct
0.000 0.000 0.000 Ho
0.000 0.000 0.255 Ho
0.000 0.000 0.745 Ho
0.000 0.000 0.500 Ga
0.000 0.500 0.128 Pt
0.000 0.500 0.385 Pt
0.000 0.500 0.615 Pt
0.000 0.500 0.872 Pt
0.500 0.000 0.128 Pt
0.500 0.000 0.385 Pt
0.500 0.000 0.615 Pt
0.500 0.000 0.872 Pt
0.500 0.500 0.000 Pt
0.500 0.500 0.257 Pt
0.500 0.500 0.500 Pt
0.500 0.500 0.743 Pt
```

DFT formation energy ... -1382 kJ/mol of formula units
N(E_F) ... 14.63 states/eV/cell

Record 8
Ho2GaPt: optimized geometry, PBE.

```
Ho2GaPt
1.0
3.541 0.000 0.000
0.000 3.541 0.000
0.000 0.000 6.962
Ho Ga Pt
2 1 1
Direct
0.000 0.000 0.240 Ho
0.000 0.000 0.760 Ho
0.500 0.500 0.500 Ga
0.500 0.500 0.000 Pt
```

DFT formation energy ... -355 kJ/mol of formula units
N(E_F) ... 2.14 states/eV/cell

The lowest N(E_F) belongs to which entry? Ho2GaPt

Number 5 is which compound? Ho6Ga2Pt

What is the N(E_F) in the sixth record? 3.38 states/eV/cell

Copy entry 6 word for word.
HoGa2Pt3: optimized geometry, PBE.

```
HoGa2Pt3
1.0
4.409 0.000 0.000
-2.204 3.818 0.000
0.000 0.000 12.353
Ho Ga Pt
2 4 6
Direct
0.000 0.000 0.250 Ho
0.000 0.000 0.750 Ho
0.333 0.667 0.087 Ga
0.333 0.667 0.413 Ga
0.667 0.333 0.587 Ga
0.667 0.333 0.913 Ga
0.000 0.000 0.000 Pt
0.000 0.000 0.500 Pt
0.333 0.667 0.626 Pt
0.333 0.667 0.874 Pt
0.667 0.333 0.126 Pt
0.667 0.333 0.374 Pt
```

DFT formation energy ... -562 kJ/mol of formula units
N(E_F) ... 3.38 states/eV/cell